The following is a DFT calculation (PBE-GGA) of a relaxed Pr8Ru3Br4F crystal.

Its mass density is 6.4 g cm⁻³. The space group is R-3m, No. 166. The value obtained for the calculated total energy is -91.08 eV/cell. The value obtained for the formation energy without anion corrections is -1.0286 eV per atom.

Cell lengths 8.183, 9.219, 8.181 Å; angles 116.31, 120.01, 90.00 degrees
Fractional positions:
Pr: 0.236 0.695 0.960
Ru: 0.000 0.500 0.500
Pr: 0.724 0.695 0.960
Pr: 0.266 0.299 0.533
Ru: 0.500 0.500 0.000
Br: 0.000 0.000 0.000
Pr: 0.236 0.695 0.471
Ru: 0.500 0.500 0.500
Pr: 0.276 0.305 0.040
Pr: 0.764 0.305 0.529
Br: 0.000 0.000 0.500
Br: 0.500 0.000 0.500
Pr: 0.734 0.701 0.467
F: 0.000 0.500 0.000
Br: 0.500 0.000 0.000
Pr: 0.764 0.305 0.040



The following is a DFT calculation (PBE-GGA) of a relaxed Pu2Be4GePt3 crystal.

Its mass density is 12.6 g cm⁻³. The space group is P-4m2, No. 115. The formation energy comes out at -0.559 eV per atom. The value obtained for the calculated total energy is -71.90 eV/cell.

Cell lengths 3.996, 3.996, 9.789 Å; angles 90.00, 90.00, 90.00 degrees
Fractional positions:
Be: 0.500 0.000 0.635
Be: 0.000 0.500 0.365
Be: 0.000 0.000 0.000
Pt: 0.000 0.500 0.124
Pt: 0.500 0.000 0.876
Pt: 0.000 0.000 0.500
Pu: 0.000 0.500 0.752
Be: 0.500 0.500 0.000
Pu: 0.500 0.000 0.248
Ge: 0.500 0.500 0.500



The following is a DFT calculation (PBE-GGA) of a relaxed MnRuPt crystal.

Its mass density is 12.3 g cm⁻³. The space group is Immm, No. 71. As for the energy above the most stable polymorph in this dataset: 0.224 eV per atom. The formation energy comes out at 0.163 eV per atom. The value obtained for the calculated total energy is -48.00 eV/cell.

Cell lengths 4.815, 2.752, 7.646 Å; angles 100.37, 108.35, 90.00 degrees
Fractional positions:
Pt: 0.361 0.861 0.721
Mn: 0.819 0.319 0.638
Ru: 0.768 0.500 0.000
Pt: 0.639 0.139 0.279
Mn: 0.181 0.681 0.362
Ru: 0.232 0.500 0.000



The following is a DFT calculation (PBE-GGA) of a relaxed BaEuPt crystal.

Its mass density is 6.7 g cm⁻³. The space group is P3m1, No. 156. The formation energy comes out at -0.641 eV per atom. The value obtained for the calculated total energy is -20.16 eV/cell.

Cell lengths 4.455, 4.455, 7.032 Å; angles 90.00, 90.00, 120.00 degrees
Fractional positions:
Ba: 0.000 0.000 0.094
Eu: 0.333 0.667 0.556
Pt: 0.667 0.333 0.350



The following is a DFT calculation (PBE-GGA) of a relaxed Tb2Dy2Ho2Th crystal.

Its mass density is 8.8 g cm⁻³. The space group is C2/m, No. 12. The formation energy comes out at 0.122 eV per atom. The value obtained for the calculated total energy is -34.18 eV/cell.

Cell lengths 3.503, 9.219, 8.255 Å; angles 118.77, 90.00, 100.95 degrees
Fractional positions:
Tb: 0.357 0.713 0.100
Tb: 0.643 0.287 0.900
Dy: 0.212 0.424 0.630
Ho: 0.429 0.859 0.758
Dy: 0.788 0.576 0.370
Ho: 0.571 0.141 0.242
Th: 0.000 0.000 0.500



The following is a DFT calculation (PBE-GGA) of a relaxed NaIn2GeH crystal.

Its mass density is 5.5 g cm⁻³. The space group is P4/mmm, No. 123. The value obtained for the calculated total energy is -14.18 eV/cell.

Cell lengths 4.707, 4.707, 4.477 Å; angles 90.00, 90.00, 90.00 degrees
Fractional positions:
H: 0.000 0.000 0.000
In: 0.000 0.500 0.000
Na: 0.000 0.000 0.500
Ge: 0.500 0.500 0.500
In: 0.500 0.000 0.000



The following is a DFT calculation (PBE-GGA) of a relaxed LiCeF2 crystal.

Its mass density is 4.8 g cm⁻³. The space group is R-3m, No. 166. The value obtained for the calculated total energy is -21.45 eV/cell. The value obtained for the formation energy without anion corrections is -2.4641 eV per atom.

Cell lengths 3.334, 3.334, 6.962 Å; angles 76.15, 76.15, 60.00 degrees
Fractional positions:
F: 0.115 0.115 0.656
Li: 0.500 0.500 0.500
Ce: 0.000 0.000 0.000
F: 0.885 0.885 0.344



The following is a DFT calculation (PBE-GGA) of a relaxed TmSi2OsRh crystal.

Its mass density is 10.5 g cm⁻³. The space group is I-4m2, No. 119. The value obtained for the calculated total energy is -38.57 eV/cell. The value obtained for the formation energy without anion corrections is -0.9349 eV per atom.

Cell lengths 4.121, 4.121, 5.652 Å; angles 111.38, 111.38, 90.00 degrees
Fractional positions:
Rh: 0.750 0.250 0.500
Tm: 0.000 0.000 0.000
Si: 0.625 0.625 0.251
Si: 0.375 0.375 0.749
Os: 0.250 0.750 0.500



The following is a DFT calculation (PBE-GGA) of a relaxed Cu2SO4 crystal.

Its mass density is 4.9 g cm⁻³. The space group is I4/mmm, No. 139. As for the energy above the most stable polymorph in this dataset: 0.831 eV per atom. The value obtained for the calculated total energy is -32.44 eV/cell. The value obtained for the formation energy without anion corrections is -0.0405 eV per atom.

Cell lengths 4.026, 4.026, 5.435 Å; angles 68.26, 68.26, 90.00 degrees
Fractional positions:
O: 0.832 0.832 0.336
O: 0.500 0.000 0.000
Cu: 0.628 0.628 0.744
Cu: 0.372 0.372 0.256
S: 0.000 0.000 0.000
O: 0.168 0.168 0.664
O: 0.000 0.500 0.000



The following is a DFT calculation (PBE-GGA) of a relaxed CeCo2H8 crystal.

Its mass density is 5.3 g cm⁻³. The space group is I4/mmm, No. 139. As for the energy above the most stable polymorph in this dataset: 0.120 eV per atom. The value obtained for the calculated total energy is -47.55 eV/cell.

Cell lengths 4.050, 4.050, 5.794 Å; angles 110.46, 110.46, 90.00 degrees
Fractional positions:
H: 0.616 0.057 0.672
H: 0.943 0.943 0.328
H: 0.943 0.384 0.328
H: 0.384 0.943 0.328
H: 0.616 0.616 0.672
H: 0.384 0.384 0.328
H: 0.057 0.057 0.672
Co: 0.250 0.750 0.500
H: 0.057 0.616 0.672
Ce: 0.500 0.500 0.000
Co: 0.750 0.250 0.500



The following is a DFT calculation (PBE-GGA) of a relaxed NaTbDyIn crystal.

Its mass density is 6.8 g cm⁻³. The space group is F-43m, No. 216. The formation energy comes out at -0.124 eV per atom. The value obtained for the calculated total energy is -13.79 eV/cell.

Cell lengths 5.401, 5.401, 5.401 Å; angles 60.00, 60.00, 60.00 degrees
Fractional positions:
Tb: 0.750 0.750 0.750
Dy: 0.250 0.250 0.250
In: 0.500 0.500 0.500
Na: 0.000 0.000 0.000



The following is a DFT calculation (PBE-GGA) of a relaxed Ac12Rh5S3 crystal.

Its mass density is 7.8 g cm⁻³. The space group is Ia-3d, No. 230. The value obtained for the calculated total energy is -441.72 eV/cell. The value obtained for the formation energy without anion corrections is -0.5994 eV per atom.

Cell lengths 15.456, 15.456, 15.456 Å; angles 109.47, 109.47, 109.47 degrees
Fractional positions:
Ac: 0.088 0.175 0.462
Ac: 0.374 0.412 0.086
Ac: 0.088 0.914 0.126
S: 0.750 0.375 0.125
Rh: 0.000 0.000 0.500
Rh: 0.500 0.500 0.500
Ac: 0.588 0.626 0.414
Ac: 0.412 0.374 0.586
Rh: 0.125 0.750 0.375
Ac: 0.788 0.325 0.914
S: 0.250 0.625 0.875
Ac: 0.712 0.126 0.038
Ac: 0.175 0.088 0.962
Ac: 0.325 0.538 0.412
Rh: 0.000 0.500 0.500
Rh: 0.875 0.625 0.750
Rh: 0.000 0.500 0.000
Rh: 0.250 0.375 0.625
Ac: 0.462 0.675 0.088
Ac: 0.538 0.325 0.912
Ac: 0.288 0.414 0.825
S: 0.625 0.375 0.750
Ac: 0.912 0.825 0.538
Ac: 0.538 0.212 0.126
Ac: 0.212 0.675 0.086
Ac: 0.675 0.462 0.588
Ac: 0.212 0.538 0.626
Rh: 0.875 0.250 0.625
Ac: 0.175 0.086 0.712
Ac: 0.914 0.825 0.788
Ac: 0.038 0.412 0.825
Rh: 0.500 0.000 0.500
Ac: 0.288 0.874 0.962
S: 0.375 0.750 0.625
Ac: 0.712 0.586 0.175
S: 0.125 0.875 0.750
Ac: 0.825 0.914 0.288
Ac: 0.626 0.588 0.914
S: 0.875 0.125 0.250
Rh: 0.500 0.000 0.000
Ac: 0.626 0.038 0.212
Ac: 0.586 0.712 0.675
S: 0.750 0.875 0.625
Rh: 0.750 0.125 0.875
Ac: 0.825 0.912 0.038
Ac: 0.414 0.288 0.325
Ac: 0.588 0.962 0.675
Ac: 0.414 0.126 0.588
Ac: 0.086 0.175 0.212
Ac: 0.912 0.086 0.874
Rh: 0.625 0.875 0.250
Ac: 0.462 0.788 0.874
Ac: 0.914 0.088 0.626
Ac: 0.586 0.874 0.412
Ac: 0.126 0.414 0.088
S: 0.375 0.625 0.250
Ac: 0.126 0.712 0.538
Rh: 0.250 0.875 0.125
S: 0.875 0.750 0.125
Ac: 0.675 0.212 0.586
Rh: 0.750 0.625 0.375
Ac: 0.962 0.374 0.288
Rh: 0.625 0.750 0.875
Ac: 0.374 0.962 0.788
Rh: 0.500 0.500 0.000
Ac: 0.325 0.788 0.414
S: 0.125 0.250 0.875
Ac: 0.086 0.912 0.374
Ac: 0.874 0.288 0.462
Ac: 0.874 0.586 0.912
Rh: 0.375 0.125 0.750
S: 0.625 0.250 0.375
Ac: 0.038 0.626 0.712
Ac: 0.412 0.038 0.325
S: 0.250 0.125 0.375
Rh: 0.125 0.375 0.250
Rh: 0.375 0.250 0.125
Rh: 0.000 0.000 0.000
Ac: 0.962 0.588 0.175
Ac: 0.788 0.462 0.374



Question: Look up the mass density of the third one.
Answer: 12.3 g cm⁻³



Question: Number 11 is which compound?
Answer: NaTbDyIn



What did the seventh record say?
The following is a DFT calculation (PBE-GGA) of a relaxed LiCeF2 crystal.

Its mass density is 4.8 g cm⁻³. The space group is R-3m, No. 166. The value obtained for the calculated total energy is -21.45 eV/cell. The value obtained for the formation energy without anion corrections is -2.4641 eV per atom.

Cell lengths 3.334, 3.334, 6.962 Å; angles 76.15, 76.15, 60.00 degrees
Fractional positions:
F: 0.115 0.115 0.656
Li: 0.500 0.500 0.500
Ce: 0.000 0.000 0.000
F: 0.885 0.885 0.344



Question: The highest mass density belongs to which entry?
Answer: Pu2Be4GePt3